(1)
VASP calculation (PBE) on crystalline Pr2Ni5Ge4 at its relaxed geometry.

Energy of formation from the pure elements: -5.87 eV per formula unit
SG: Fmmm (69)
N(E_F): 10.110 states/eV per cell
Magnetic moment: 0.00 μB/atom

a = 5.5904 Å, b = 5.6245 Å, c = 7.3628 Å
α = 79.13°, β = 67.69°, γ = 60.20°
Last column: nearest neighbours and their distance in Å.
Positions (direct):
Ni: 0.0000 0.5000 0.0000  4 Ge 2.46
Pr: 0.1396 0.0000 0.7208  8 Ge 3.17-3.46, 10 Ni 3.19-3.40
Ge: 0.5216 0.6947 0.2621  5 Ni 2.33-2.46
Ge: 0.4784 0.3053 0.7379  5 Ni 2.33-2.46
Ni: 0.7500 0.5000 0.5000  4 Ge 2.34
Ni: 0.5000 0.5000 0.0000  4 Ge 2.46
Ge: 0.2163 0.3053 0.2621  5 Ni 2.33-2.46
Ni: 0.2500 0.5000 0.5000  4 Ge 2.34
Pr: 0.8604 0.0000 0.2792  8 Ge 3.17-3.46, 10 Ni 3.19-3.40
Ni: 0.5000 0.0000 0.0000  4 Ge 2.33
Ge: 0.7837 0.6947 0.7379  5 Ni 2.33-2.46

=====

(2)
VASP calculation (PBE) on crystalline PrNiGe2 at its relaxed geometry.

Energy of formation from the pure elements: -2.85 eV per formula unit
SG: Pnma (62)
N(E_F): 6.125 states/eV per cell
Magnetic moment: 0.00 μB/atom

a = 4.2290 Å, b = 6.9618 Å, c = 10.5191 Å
α = 90.00°, β = 90.00°, γ = 90.00°
Last column: nearest neighbours and their distance in Å.
Positions (direct):
Ni: 0.7500 0.4906 0.1365  5 Ge 2.33-2.44
Ge: 0.7500 0.1493 0.1684  2 Ni 2.33-2.40
Pr: 0.7500 0.1719 0.8716  9 Ge 3.11-3.39, 4 Ni 3.16-3.44
Ni: 0.7500 0.9906 0.3635  5 Ge 2.33-2.44
Ge: 0.7500 0.1501 0.5670  3 Ni 2.41-2.44
Pr: 0.7500 0.6719 0.6284  9 Ge 3.11-3.39, 4 Ni 3.16-3.44
Ni: 0.2500 0.0094 0.6365  5 Ge 2.33-2.44
Ge: 0.7500 0.6501 0.9330  3 Ni 2.41-2.44
Ge: 0.2500 0.8499 0.4330  3 Ni 2.41-2.44
Pr: 0.2500 0.8281 0.1284  9 Ge 3.11-3.39, 4 Ni 3.16-3.44
Ge: 0.2500 0.8507 0.8316  2 Ni 2.33-2.40
Ge: 0.7500 0.6493 0.3316  2 Ni 2.33-2.40
Ge: 0.2500 0.3507 0.6684  2 Ni 2.33-2.40
Pr: 0.2500 0.3281 0.3716  9 Ge 3.11-3.39, 4 Ni 3.16-3.44
Ge: 0.2500 0.3499 0.0670  3 Ni 2.41-2.44
Ni: 0.2500 0.5094 0.8635  5 Ge 2.33-2.44

=====

(3)
VASP calculation (PBE) on crystalline Pr3Ni5Ge2 at its relaxed geometry.

Energy of formation from the pure elements: -2.46 eV per formula unit
SG: Ibam (72)
N(E_F): 24.482 states/eV per cell
Magnetic moment: 0.00 μB/atom

a = 5.7864 Å, b = 8.6316 Å, c = 8.6316 Å
α = 76.11°, β = 70.42°, γ = 70.42°
Last column: nearest neighbours and their distance in Å.
Positions (direct):
Ge: 0.8564 0.3205 0.9668  3 Ni 2.35-2.58
Ni: 0.7500 0.5000 0.5000  4 Ni 2.48
Ni: 0.6375 0.2598 0.4651  1 Ge 2.35, 4 Ni 2.48
Ni: 0.2500 0.5000 0.5000  4 Ni 2.48
Ni: 0.1375 0.4651 0.2598  1 Ge 2.35, 4 Ni 2.48
Ge: 0.1436 0.6795 0.0332  3 Ni 2.35-2.58
Ge: 0.6436 0.0332 0.6795  3 Ni 2.35-2.58
Ge: 0.3564 0.9668 0.3205  3 Ni 2.35-2.58
Ni: 0.5247 0.2253 0.2253  2 Ni 2.48, 2 Ge 2.58, 1 Pr 2.77
Ni: 0.4753 0.7747 0.7747  2 Ni 2.48, 2 Ge 2.58, 1 Pr 2.77
Ni: 0.9753 0.7747 0.7747  2 Ni 2.48, 2 Ge 2.58, 1 Pr 2.77
Pr: 0.8836 0.8167 0.4160  8 Ni 2.95-3.29, 3 Ge 2.96-3.19
Pr: 0.1164 0.1833 0.5840  8 Ni 2.95-3.29, 3 Ge 2.96-3.19
Ni: 0.0247 0.2253 0.2253  2 Ni 2.48, 2 Ge 2.58, 1 Pr 2.77
Ni: 0.8625 0.5349 0.7402  1 Ge 2.35, 4 Ni 2.48
Pr: 0.2500 0.0000 0.0000  2 Ni 2.77, 2 Pr 2.89, 4 Ge 2.96
Pr: 0.3836 0.4160 0.8167  8 Ni 2.95-3.29, 3 Ge 2.96-3.19
Ni: 0.3625 0.7402 0.5349  1 Ge 2.35, 4 Ni 2.48
Pr: 0.7500 0.0000 0.0000  2 Ni 2.77, 2 Pr 2.89, 4 Ge 2.96
Pr: 0.6164 0.5840 0.1833  8 Ni 2.95-3.29, 3 Ge 2.96-3.19

=====

(4)
VASP calculation (PBE) on crystalline PrNi4Ge at its relaxed geometry.

Energy of formation from the pure elements: -1.36 eV per formula unit
E above lowest polymorph: 60.8 meV per atom
SG: F-43m (216)
N(E_F): 6.323 states/eV per cell
Magnetic moment: 0.00 μB/atom

a = 4.9979 Å, b = 4.9979 Å, c = 4.9979 Å
α = 60.00°, β = 60.00°, γ = 60.00°
Last column: nearest neighbours and their distance in Å.
Positions (direct):
Pr: 0.2500 0.2500 0.2500  12 Ni 2.93, 4 Ge 3.06
Ni: 0.6263 0.6263 0.6263  6 Ni 2.47-2.53
Ge: 0.0000 0.0000 0.0000  12 Ni 2.93, 4 Pr 3.06
Ni: 0.6263 0.1210 0.6263  6 Ni 2.47-2.53
Ni: 0.1210 0.6263 0.6263  6 Ni 2.47-2.53
Ni: 0.6263 0.6263 0.1210  6 Ni 2.47-2.53

=====

(5)
VASP calculation (PBE) on crystalline Pr2NiGe4Pt3 at its relaxed geometry.

Energy of formation from the pure elements: -8.72 eV per formula unit
SG: P-4m2 (115)
N(E_F): 5.683 states/eV per cell
Magnetic moment: 0.00 μB/atom

a = 4.3468 Å, b = 4.3468 Å, c = 10.1137 Å
α = 90.00°, β = 90.00°, γ = 90.00°
Last column: nearest neighbours and their distance in Å.
Positions (direct):
Ni: 0.5000 0.5000 0.5000  4 Ge 2.51
Pt: 0.0000 0.0000 0.5000  4 Ge 2.51
Ge: 0.0000 0.0000 0.0000  4 Pt 2.54
Pt: 0.5000 0.0000 0.8706  5 Ge 2.50-2.54
Pt: 0.0000 0.5000 0.1294  5 Ge 2.50-2.54
Pr: 0.5000 0.0000 0.2538  2 Ni 3.30, 6 Pt 3.30-3.32, 8 Ge 3.31-3.36
Ge: 0.5000 0.5000 0.0000  4 Pt 2.54
Ge: 0.5000 0.0000 0.6237  3 Pt 2.50-2.51, 2 Ni 2.51
Ge: 0.0000 0.5000 0.3763  3 Pt 2.50-2.51, 2 Ni 2.51
Pr: 0.0000 0.5000 0.7462  2 Ni 3.30, 6 Pt 3.30-3.32, 8 Ge 3.31-3.36

=====

(6)
VASP calculation (PBE) on crystalline PrNiGePt3 at its relaxed geometry.

Energy of formation from the pure elements: -3.15 eV per formula unit
SG: Cmcm (63)
N(E_F): 10.308 states/eV per cell
Magnetic moment: 0.00 μB/atom

a = 5.6792 Å, b = 6.8772 Å, c = 6.7616 Å
α = 120.57°, β = 90.00°, γ = 90.00°
Last column: nearest neighbours and their distance in Å.
Positions (direct):
Pt: 0.5000 0.2886 0.0000  2 Ni 2.51, 2 Ge 2.51
Ni: 0.7500 0.0494 0.0988  5 Pt 2.51-2.54, 1 Pr 2.67
Pr: 0.2500 0.7214 0.4428  1 Ni 2.67
Pt: 0.2500 0.1685 0.3369  1 Ge 2.39, 1 Ni 2.54
Pr: 0.7500 0.2786 0.5572  1 Ni 2.67
Ge: 0.2500 0.3733 0.7466  5 Pt 2.39-2.51
Pt: 0.0000 0.2886 0.0000  2 Ni 2.51, 2 Ge 2.51
Pt: 0.5000 0.7114 0.0000  2 Ni 2.51, 2 Ge 2.51
Ge: 0.7500 0.6267 0.2534  5 Pt 2.39-2.51
Ni: 0.2500 0.9506 0.9012  5 Pt 2.51-2.54, 1 Pr 2.67
Pt: 0.7500 0.8315 0.6631  1 Ge 2.39, 1 Ni 2.54
Pt: 0.0000 0.7114 0.0000  2 Ni 2.51, 2 Ge 2.51

=====

(7)
VASP calculation (PBE) on crystalline Pr2NiGe3Pt4 at its relaxed geometry.

Energy of formation from the pure elements: -8.49 eV per formula unit
SG: P-4m2 (115)
N(E_F): 8.816 states/eV per cell
Magnetic moment: 0.00 μB/atom

a = 4.3314 Å, b = 4.3314 Å, c = 10.2014 Å
α = 90.00°, β = 90.00°, γ = 90.00°
Last column: nearest neighbours and their distance in Å.
Positions (direct):
Pr: 0.0000 0.5000 0.7376  6 Ge 3.25-3.34, 2 Ni 3.25, 8 Pt 3.26-3.44
Pt: 0.5000 0.0000 0.6278  3 Ge 2.45-2.53, 2 Ni 2.53
Pt: 0.5000 0.5000 0.0000  4 Ge 2.55
Ge: 0.0000 0.0000 0.5000  4 Pt 2.53
Ni: 0.5000 0.5000 0.5000  4 Pt 2.53
Ge: 0.5000 0.0000 0.8677  5 Pt 2.45-2.55
Pt: 0.0000 0.0000 0.0000  4 Ge 2.55
Pt: 0.0000 0.5000 0.3722  3 Ge 2.45-2.53, 2 Ni 2.53
Pr: 0.5000 0.0000 0.2624  6 Ge 3.25-3.34, 2 Ni 3.25, 8 Pt 3.26-3.44
Ge: 0.0000 0.5000 0.1323  5 Pt 2.45-2.55

=====

(8)
VASP calculation (PBE) on crystalline PrNiGePt at its relaxed geometry.

Energy of formation from the pure elements: -2.45 eV per formula unit
SG: Imm2 (44)
N(E_F): 2.299 states/eV per cell
Magnetic moment: 0.00 μB/atom

a = 4.1538 Å, b = 4.2507 Å, c = 5.6138 Å
α = 112.25°, β = 111.71°, γ = 90.00°
Last column: nearest neighbours and their distance in Å.
Positions (direct):
Ni: 0.6021 0.6021 0.2041  2 Ge 2.31, 1 Pt 2.51
Pt: 0.3383 0.3383 0.6765  2 Ge 2.45, 1 Ni 2.51
Ge: 0.2094 0.7094 0.4188  2 Ni 2.31, 2 Pt 2.45
Pr: 0.9656 0.9656 0.9312  4 Ge 3.15-3.20, 4 Pt 3.21, 5 Ni 3.24-3.46

=====

(9)
VASP calculation (PBE) on crystalline PrPu2Ni2Ge2 at its relaxed geometry.

Energy of formation from the pure elements: -2.57 eV per formula unit
SG: R-3m (166)
N(E_F): 10.241 states/eV per cell
Magnetic moment: 0.00 μB/atom

a = 4.0710 Å, b = 4.0710 Å, c = 9.2017 Å
α = 77.22°, β = 77.22°, γ = 60.00°
Last column: nearest neighbours and their distance in Å.
Positions (direct):
Ge: 0.7403 0.7403 0.7792  3 Ni 2.43
Ni: 0.5700 0.5700 0.2900  3 Ge 2.43
Pu: 0.8474 0.8474 0.4579  3 Pu 2.47
Ge: 0.2597 0.2597 0.2208  3 Ni 2.43
Pu: 0.1526 0.1526 0.5421  3 Pu 2.47
Pr: 0.0000 0.0000 0.0000  6 Ge 3.06
Ni: 0.4300 0.4300 0.7100  3 Ge 2.43

=====

(10)
VASP calculation (PBE) on crystalline Pr2NiGe4Rh3 at its relaxed geometry.

Energy of formation from the pure elements: -7.86 eV per formula unit
SG: P-4m2 (115)
N(E_F): 8.091 states/eV per cell
Magnetic moment: 0.00 μB/atom

a = 4.3238 Å, b = 4.3238 Å, c = 9.8882 Å
α = 90.00°, β = 90.00°, γ = 90.00°
Last column: nearest neighbours and their distance in Å.
Positions (direct):
Pr: 0.5000 0.0000 0.2484  8 Ge 3.27-3.31, 6 Rh 3.28-3.30, 2 Ni 3.30
Rh: 0.0000 0.0000 0.5000  4 Ge 2.48
Ge: 0.0000 0.5000 0.3769  3 Rh 2.47-2.48, 2 Ni 2.48
Rh: 0.5000 0.0000 0.8728  5 Ge 2.47-2.50
Pr: 0.0000 0.5000 0.7516  8 Ge 3.27-3.31, 6 Rh 3.28-3.30, 2 Ni 3.30
Ge: 0.5000 0.0000 0.6231  3 Rh 2.47-2.48, 2 Ni 2.48
Ge: 0.5000 0.5000 0.0000  4 Rh 2.50
Ge: 0.0000 0.0000 0.0000  4 Rh 2.50
Ni: 0.5000 0.5000 0.5000  4 Ge 2.48
Rh: 0.0000 0.5000 0.1272  5 Ge 2.47-2.50

=====

(11)
VASP calculation (PBE) on crystalline Pr2Ni3Ge4Rh at its relaxed geometry.

Energy of formation from the pure elements: -7.32 eV per formula unit
SG: P-4m2 (115)
N(E_F): 6.349 states/eV per cell
Magnetic moment: 0.00 μB/atom

a = 4.1831 Å, b = 4.1831 Å, c = 9.9367 Å
α = 90.00°, β = 90.00°, γ = 90.00°
Last column: nearest neighbours and their distance in Å.
Positions (direct):
Ge: 0.0000 0.0000 0.0000  4 Ni 2.42
Ni: 0.0000 0.5000 0.1225  5 Ge 2.41-2.42
Ge: 0.5000 0.5000 0.0000  4 Ni 2.42
Pr: 0.5000 0.0000 0.2437  6 Ni 3.19-3.30, 8 Ge 3.19-3.20, 2 Rh 3.30
Ge: 0.5000 0.0000 0.6350  3 Ni 2.41-2.48, 2 Rh 2.48
Ni: 0.0000 0.0000 0.5000  4 Ge 2.48
Rh: 0.5000 0.5000 0.5000  4 Ge 2.48
Ge: 0.0000 0.5000 0.3650  3 Ni 2.41-2.48, 2 Rh 2.48
Pr: 0.0000 0.5000 0.7563  6 Ni 3.19-3.30, 8 Ge 3.19-3.20, 2 Rh 3.30
Ni: 0.5000 0.0000 0.8775  5 Ge 2.41-2.42

=====

(12)
VASP calculation (PBE) on crystalline Pr2Ni12Ge3Rh at its relaxed geometry.

Energy of formation from the pure elements: 0.63 eV per formula unit
SG: R-3m (166)
N(E_F): 20.021 states/eV per cell
Magnetic moment: 0.00 μB/atom

a = 6.4082 Å, b = 6.4082 Å, c = 6.4082 Å
α = 84.99°, β = 84.99°, γ = 84.99°
Last column: nearest neighbours and their distance in Å.
Positions (direct):
Pr: 0.3207 0.3207 0.3207  9 Ni 2.65-2.83
Ni: 0.1939 0.1939 0.7119  3 Ni 2.32-2.54, 1 Ge 2.41, 1 Rh 2.44
Ni: 0.8826 0.3970 0.3970  1 Ni 2.32
Ni: 0.6030 0.1174 0.6030  1 Ni 2.32
Pr: 0.6793 0.6793 0.6793  9 Ni 2.65-2.83
Ni: 0.6030 0.6030 0.1174  1 Ni 2.32
Ni: 0.8061 0.8061 0.2881  3 Ni 2.32-2.54, 1 Ge 2.41, 1 Rh 2.44
Ni: 0.7119 0.1939 0.1939  3 Ni 2.32-2.54, 1 Ge 2.41, 1 Rh 2.44
Ge: 0.5000 0.0000 0.0000  6 Ni 2.41-2.63
Ni: 0.8061 0.2881 0.8061  3 Ni 2.32-2.54, 1 Ge 2.41, 1 Rh 2.44
Ni: 0.1174 0.6030 0.6030  1 Ni 2.32
Ni: 0.3970 0.8826 0.3970  1 Ni 2.32
Ni: 0.2881 0.8061 0.8061  3 Ni 2.32-2.54, 1 Ge 2.41, 1 Rh 2.44
Ge: 0.0000 0.0000 0.5000  6 Ni 2.41-2.63
Ni: 0.3970 0.3970 0.8826  1 Ni 2.32
Ge: 0.0000 0.5000 0.0000  6 Ni 2.41-2.63
Rh: 0.0000 0.0000 0.0000  6 Ni 2.44
Ni: 0.1939 0.7119 0.1939  3 Ni 2.32-2.54, 1 Ge 2.41, 1 Rh 2.44